# 1
# BaH4O6

Crystalline BaH4O6 at its relaxed geometry (PBE, Alexandria).

Uncorrected energy: -5.077 eV per atom
Magnetization: 0.09 μB per atom

Geometry as POSCAR:
```
BaH4O6
1.0
4.038 -4.753 0.000
4.038 4.753 0.000
-0.385 0.000 6.562
Ba H O
2 8 12
Cartesian
0.000 0.000 0.000
3.845 -1.314 3.281
0.931 -0.036 3.551
2.763 1.932 1.919
3.693 1.110 5.148
3.998 1.110 1.414
4.928 1.932 4.643
2.386 -1.193 6.116
5.305 -1.193 0.446
6.760 -0.036 3.011
0.471 0.714 2.955
3.083 1.004 1.744
1.320 -1.115 4.453
2.191 -0.432 5.448
1.656 -1.962 1.301
4.608 1.004 4.818
2.839 -2.212 0.697
5.499 -0.432 1.114
7.219 0.714 3.607
4.852 -2.212 5.865
6.371 -1.115 2.109
6.035 -1.962 5.261
```

# 2
# Ba4H6O

Crystalline Ba4H6O at its relaxed geometry (PBE, Alexandria).

Uncorrected energy: -3.827 eV per atom
Magnetization: 0.00 μB per atom

Geometry as POSCAR:
```
Ba4H6O
1.0
8.861 0.000 0.000
0.000 8.861 0.000
0.000 0.000 6.435
Ba H O
8 12 2
Cartesian
0.027 2.215 0.311
2.215 0.027 3.529
2.215 4.404 3.529
4.404 2.215 0.311
4.458 6.646 6.124
6.646 4.458 2.906
6.646 8.834 2.906
8.834 6.646 6.124
0.266 4.697 1.609
0.266 8.596 1.609
2.215 2.215 1.820
2.215 2.215 5.038
4.165 4.697 1.609
4.165 8.596 1.609
4.697 0.266 4.826
4.697 4.165 4.826
6.646 6.646 1.397
6.646 6.646 4.615
8.596 0.266 4.826
8.596 4.165 4.826
2.215 6.646 4.826
6.646 2.215 1.609
```

# 3
# BaHO

Crystalline BaHO at its relaxed geometry (PBE, Alexandria).

Uncorrected energy: -4.853 eV per atom
Magnetization: 0.00 μB per atom

Geometry as POSCAR:
```
BaHO
1.0
7.557 0.000 0.000
0.000 4.185 0.000
0.000 0.000 7.565
Ba H O
4 4 4
Cartesian
1.505 1.046 1.167
2.273 3.138 4.949
5.284 1.046 2.615
6.052 3.138 6.398
0.236 1.046 5.302
3.543 3.138 1.519
4.014 1.046 6.045
7.321 3.138 2.263
0.470 1.046 6.283
3.308 3.138 2.500
4.249 1.046 5.064
7.086 3.138 1.282
```

# 4
# Ba3H2O6

Crystalline Ba3H2O6 at its relaxed geometry (PBE, Alexandria).

Uncorrected energy: -5.313 eV per atom
Magnetization: 0.36 μB per atom

Geometry as POSCAR:
```
Ba3H2O6
1.0
-2.026 2.026 10.938
2.026 -2.026 10.938
2.026 2.026 -10.938
Ba H O
3 2 6
Cartesian
0.000 0.000 0.000
0.000 0.000 3.853
0.000 0.000 18.024
0.000 0.000 7.556
0.000 0.000 14.321
2.026 0.000 1.879
0.000 0.000 6.573
2.026 0.000 9.059
0.000 2.026 1.879
0.000 0.000 15.304
0.000 2.026 9.059
```

Question: Which formula does entry 1 have?
Answer: BaH4O6

Question: The lowest uncorrected energy belongs to which entry?
Answer: Ba3H2O6

Question: What is the magnetization in the fourth record?
Answer: 0.36 μB per atom